The following is a PBE-GGA calculation of LiPm2AlTe5 after structural relaxation, from the Alexandria database.

Output
E_form (uncorrected), meV/atom: -1082
SG: Cmc2_1, No. 36

Cell: 4.2762 9.8426 12.7594 Å, 90.00 90.00 102.55°
With the nearest neighbours (Å) after each atom.
Positions (direct):
Al  0.5786  0.1572  0.9602  4 Te 2.63-2.66
Te  0.3090  0.6179  0.3432  1 Al 2.63
Te  0.9562  0.9125  0.5723  2 Al 2.66
Te  0.2920  0.5839  0.6647  2 Li 2.85, 2 Pm 3.16
Pm  0.8805  0.7611  0.1806  8 Te 3.21-3.43
Te  0.4966  0.9931  0.2857  1 Al 2.65
Pm  0.1195  0.2389  0.6806  8 Te 3.21-3.43
Pm  0.1293  0.2586  0.3039  8 Te 3.16-3.49
Te  0.3560  0.7120  0.9968  1 Li 2.81
Te  0.7080  0.4161  0.1647  2 Li 2.85, 2 Pm 3.16
Te  0.6440  0.2880  0.4968  1 Li 2.81
Pm  0.8707  0.7414  0.8039  8 Te 3.16-3.49
Li  0.2106  0.4211  0.0165  5 Te 2.81-3.10
Al  0.4214  0.8428  0.4602  4 Te 2.63-2.66
Li  0.7894  0.5789  0.5165  5 Te 2.81-3.10
Te  0.0438  0.0875  0.0723  2 Al 2.66
Te  0.6910  0.3821  0.8432  1 Al 2.63
Te  0.5034  0.0069  0.7857  1 Al 2.65

=====

The following is a PBE-GGA calculation of Ag3Br2Cl2 after structural relaxation, from the Alexandria database.

Output
E_form (uncorrected), meV/atom: -340
SG: P2_1/c, No. 14
Offset from the most stable computed form, eV/f.u.: 0.11

Cell: 7.6242 7.4197 7.3853 Å, 90.00 61.14 90.00°
With the nearest neighbours (Å) after each atom.
Positions (direct):
Cl  0.8917  0.8740  0.3675  4 Ag 2.59-2.87
Cl  0.1083  0.1260  0.6325  4 Ag 2.59-2.87
Ag  0.2694  0.9647  0.2781  3 Cl 2.59-2.87, 2 Br 2.72-2.77
Br  0.1268  0.3598  0.1212  3 Ag 2.72-2.77
Br  0.6268  0.1402  0.1212  3 Ag 2.72-2.77
Ag  0.2306  0.4647  0.7219  3 Cl 2.59-2.87, 2 Br 2.72-2.77
Br  0.3732  0.8598  0.8788  3 Ag 2.72-2.77
Ag  0.5000  0.5000  0.0000  2 Cl 2.60, 2 Br 2.74
Ag  0.7306  0.0353  0.7219  3 Cl 2.59-2.87, 2 Br 2.72-2.77
Ag  0.7694  0.5353  0.2781  3 Cl 2.59-2.87, 2 Br 2.72-2.77
Cl  0.3917  0.6260  0.3675  4 Ag 2.59-2.87
Cl  0.6083  0.3740  0.6325  4 Ag 2.59-2.87
Ag  0.0000  0.0000  0.0000  2 Cl 2.60, 2 Br 2.74
Br  0.8732  0.6402  0.8788  3 Ag 2.72-2.77

=====

The following is a PBE-GGA calculation of RbAc2HgSe4 after structural relaxation, from the Alexandria database.

Output
E_form (uncorrected), meV/atom: -1438
SG: Cmcm, No. 63

Cell: 4.7347 7.8948 15.6611 Å, 90.00 90.00 107.45°
With the nearest neighbours (Å) after each atom.
Positions (direct):
Hg  0.8584  0.7168  0.7500  4 Se 2.73-2.89
Se  0.2616  0.5231  0.3943  1 Hg 2.89, 3 Ac 3.10-3.16
Ac  0.3702  0.7404  0.9374  6 Se 3.10-3.22
Se  0.2616  0.5231  0.1057  1 Hg 2.89, 3 Ac 3.10-3.16
Se  0.5513  0.1025  0.2500  2 Hg 2.73
Se  0.0000  0.0000  0.0000  4 Ac 3.22
Ac  0.6298  0.2596  0.4374  6 Se 3.10-3.22
Ac  0.3702  0.7404  0.5626  6 Se 3.10-3.22
Se  0.4487  0.8975  0.7500  2 Hg 2.73
Ac  0.6298  0.2596  0.0626  6 Se 3.10-3.22
Rb  0.1229  0.2459  0.7500  6 Se 3.53-3.71
Se  0.0000  0.0000  0.5000  4 Ac 3.22
Se  0.7384  0.4769  0.6057  1 Hg 2.89, 3 Ac 3.10-3.16
Rb  0.8771  0.7541  0.2500  6 Se 3.53-3.71
Se  0.7384  0.4769  0.8943  1 Hg 2.89, 3 Ac 3.10-3.16
Hg  0.1416  0.2832  0.2500  4 Se 2.73-2.89

=====

The following is a PBE-GGA calculation of SmPRu after structural relaxation, from the Alexandria database.

Output
SG: P4/nmm, No. 129
Energy of formation from the pure elements, meV per atom: -985.1

Cell: 4.0343 4.0345 7.0821 Å, 90.00 90.00 90.00°
With the nearest neighbours (Å) after each atom.
Positions (direct):
P  0.3135  0.3664  0.7345  4 Ru 2.41
P  0.8137  0.8665  0.1047  4 Ru 2.41
Ru  0.3136  0.8664  0.9196  4 P 2.41
Sm  0.3136  0.3665  0.2448  4 P 3.02, 4 Ru 3.06
Sm  0.8136  0.8665  0.5943  4 P 3.02, 4 Ru 3.06
Ru  0.8135  0.3665  0.9196  4 P 2.41

=====

The following is a PBE-GGA calculation of CdReCl2 after structural relaxation, from the Alexandria database.

Output
E_form (uncorrected), meV/atom: 29
SG: Pm, No. 6
Offset from the most stable computed form, eV/f.u.: 0.00

Cell: 3.0559 4.8319 7.2999 Å, 70.75 90.00 90.00°
With the nearest neighbours (Å) after each atom.
Positions (direct):
Cd  0.5000  0.7388  0.6477  4 Re 2.88, 2 Cd 3.06
Re  0.0000  0.2648  0.5956  3 Cl 2.30-2.40
Cl  0.0000  0.0985  0.9295  1 Re 2.30
Cl  0.5000  0.3979  0.3272  2 Re 2.40

=====

The following is a PBE-GGA calculation of TlSbPF after structural relaxation, from the Alexandria database.

Output
E_form (uncorrected), meV/atom: -726
SG: P1, No. 1
Offset from the most stable computed form, eV/f.u.: 0.16

Cell: 3.8037 3.8034 9.2062 Å, 90.09 101.78 120.00°
With the nearest neighbours (Å) after each atom.
Positions (direct):
P  0.9982  0.1280  0.4216  3 Sb 2.61
F  0.4515  0.3522  0.1080  3 Tl 2.48
Tl  0.0326  0.6424  0.9791  3 F 2.48
Sb  0.4360  0.8475  0.5792  3 P 2.61

=====

The following is a PBE-GGA calculation of La6Tl2Au after structural relaxation, from the Alexandria database.

Output
SG: P2_1/c, No. 14
Energy of formation from the pure elements, meV per atom: -304.7
Offset from the most stable computed form, eV/f.u.: 0.66

Cell: 6.4916 8.7977 10.6100 Å, 90.00 88.27 90.00°
With the nearest neighbours (Å) after each atom.
Positions (direct):
Tl  0.5965  0.8725  0.7443  9 La 3.32-3.69
La  0.6156  0.1558  0.9498  1 Au 3.16, 1 La 3.29, 3 Tl 3.32-3.50
La  0.9008  0.6866  0.9488  1 Au 3.11, 3 Tl 3.40-3.46
La  0.5992  0.1866  0.5512  1 Au 3.11, 3 Tl 3.40-3.46
Au  0.0000  0.0000  0.5000  6 La 3.02-3.16
La  0.0992  0.3134  0.0512  1 Au 3.11, 3 Tl 3.40-3.46
La  0.1215  0.0273  0.7718  1 Au 3.02, 2 Tl 3.36-3.38
La  0.6215  0.4727  0.2718  1 Au 3.02, 2 Tl 3.36-3.38
Tl  0.4035  0.1275  0.2557  9 La 3.32-3.69
La  0.1156  0.3442  0.4498  1 Au 3.16, 1 La 3.29, 3 Tl 3.32-3.50
La  0.3785  0.5273  0.7282  1 Au 3.02, 2 Tl 3.36-3.38
La  0.8844  0.6558  0.5502  1 Au 3.16, 1 La 3.29, 3 Tl 3.32-3.50
La  0.8785  0.9727  0.2282  1 Au 3.02, 2 Tl 3.36-3.38
La  0.4008  0.8134  0.4488  1 Au 3.11, 3 Tl 3.40-3.46
Tl  0.9035  0.3725  0.7557  9 La 3.32-3.69
Tl  0.0965  0.6275  0.2443  9 La 3.32-3.69
La  0.3844  0.8442  0.0502  1 Au 3.16, 1 La 3.29, 3 Tl 3.32-3.50
Au  0.5000  0.5000  0.0000  6 La 3.02-3.16

=====

The following is a PBE-GGA calculation of Pr7Nd3Y after structural relaxation, from the Alexandria database.

Output
SG: C2/m, No. 12
Energy of formation from the pure elements, meV per atom: 220.5
Offset from the most stable computed form, eV/f.u.: 0.03

Cell: 6.5935 7.9055 7.9055 Å, 82.10 86.18 86.18°
With the nearest neighbours (Å) after each atom.
Positions (direct):
Pr  0.2614  0.4275  0.0812  6 Pr 3.41-3.81, 3 Nd 3.62-3.75
Pr  0.7853  0.2389  0.2389  5 Pr 3.41-3.64, 1 Y 3.49, 3 Nd 3.54-3.55
Pr  0.2147  0.7611  0.7611  5 Pr 3.41-3.64, 1 Y 3.49, 3 Nd 3.54-3.55
Nd  0.0000  0.8289  0.1711  7 Pr 3.41-3.64, 3 Nd 3.55-3.75
Pr  0.7386  0.9188  0.5725  6 Pr 3.41-3.81, 3 Nd 3.62-3.75
Pr  0.2614  0.0812  0.4275  6 Pr 3.41-3.81, 3 Nd 3.62-3.75
Nd  0.0000  0.1711  0.8289  7 Pr 3.41-3.64, 3 Nd 3.55-3.75
Y  0.5000  0.5000  0.5000  4 Pr 3.30-3.49
Nd  0.5000  0.0000  0.0000  6 Pr 3.55-3.75, 4 Nd 3.75
Pr  0.7386  0.5725  0.9188  6 Pr 3.41-3.81, 3 Nd 3.62-3.75
Pr  0.0000  0.5000  0.5000  2 Y 3.30, 2 Nd 3.41, 2 Pr 3.53

=====

The following is a PBE-GGA calculation of TbPmDySn after structural relaxation, from the Alexandria database.

Output
SG: F-43m, No. 216
Energy of formation from the pure elements, meV per atom: -221.9

Cell: 5.4464 5.4464 5.4464 Å, 60.00 60.00 60.00°
With the nearest neighbours (Å) after each atom.
Positions (direct):
Dy  0.5000  0.5000  0.5000  4 Sn 3.34, 4 Pm 3.34
Sn  0.2500  0.2500  0.2500  4 Tb 3.34, 4 Dy 3.34
Tb  0.0000  0.0000  0.0000  4 Pm 3.34, 4 Sn 3.34
Pm  0.7500  0.7500  0.7500  4 Dy 3.34, 4 Tb 3.34

=====

The following is a PBE-GGA calculation of Cs7Tl2Au2 after structural relaxation, from the Alexandria database.

Output
SG: Cmmm, No. 65
Energy of formation from the pure elements, meV per atom: -133.1

Cell: 8.7818 8.7818 9.0652 Å, 90.00 90.00 70.05°
With the nearest neighbours (Å) after each atom.
Positions (direct):
Cs  0.5000  0.5000  0.2505  2 Au 3.64
Tl  0.1463  0.8537  0.5000  1 Tl 2.95
Cs  0.5000  0.0000  0.2691  2 Au 3.59
Tl  0.8537  0.1463  0.5000  1 Tl 2.95
Cs  0.5000  0.5000  0.7495  2 Au 3.64
Cs  0.0000  0.0000  0.0000  2 Au 4.35, 4 Tl 4.77
Cs  0.0000  0.5000  0.7309  2 Au 3.59
Cs  0.0000  0.5000  0.2691  2 Au 3.59
Au  0.3021  0.3021  0.0000  6 Cs 3.59-3.64
Cs  0.5000  0.0000  0.7309  2 Au 3.59
Au  0.6979  0.6979  0.0000  6 Cs 3.59-3.64

=====

The following is a PBE-GGA calculation of ReTc2W after structural relaxation, from the Alexandria database.

Output
SG: Cmmm, No. 65
Energy of formation from the pure elements, meV per atom: 128.1
Offset from the most stable computed form, eV/f.u.: 0.06

Cell: 4.8024 4.8024 2.7759 Å, 90.00 90.00 108.93°
With the nearest neighbours (Å) after each atom.
Positions (direct):
Tc  0.0000  0.0000  0.0000  4 Re 2.77, 4 W 2.77, 4 Tc 2.78-2.79
Re  0.0000  0.5000  0.5000  8 Tc 2.77, 2 Re 2.78, 2 W 2.79
W  0.5000  0.0000  0.5000  8 Tc 2.77, 2 W 2.78, 2 Re 2.79
Tc  0.5000  0.5000  0.0000  4 W 2.77, 4 Re 2.77, 4 Tc 2.78-2.79

=====

Please write out number 4 again, unchanged.
The following is a PBE-GGA calculation of SmPRu after structural relaxation, from the Alexandria database.

Output
SG: P4/nmm, No. 129
Energy of formation from the pure elements, meV per atom: -985.1

Cell: 4.0343 4.0345 7.0821 Å, 90.00 90.00 90.00°
With the nearest neighbours (Å) after each atom.
Positions (direct):
P  0.3135  0.3664  0.7345  4 Ru 2.41
P  0.8137  0.8665  0.1047  4 Ru 2.41
Ru  0.3136  0.8664  0.9196  4 P 2.41
Sm  0.3136  0.3665  0.2448  4 P 3.02, 4 Ru 3.06
Sm  0.8136  0.8665  0.5943  4 P 3.02, 4 Ru 3.06
Ru  0.8135  0.3665  0.9196  4 P 2.41